# Rb2CeCd2Se4, relaxed, DFT GGA-PBE
data_Rb2CeCd2Se4
_chemical_formula_sum 'Rb4 Ce2 Cd4 Se8'
_cell_length_a 17.189
_cell_length_b 4.217
_cell_length_c 8.669
_cell_angle_alpha 90.00
_cell_angle_beta 114.44
_cell_angle_gamma 90.00
_symmetry_space_group_name_H-M 'C 1 2/m 1'
_symmetry_Int_Tables_number 12
loop_
_symmetry_equiv_pos_as_xyz
'x,y,z'
'-x,-y,-z'
'-x,y,-z'
'x,-y,z'
'x+1/2,y+1/2,z'
'-x+1/2,-y+1/2,-z'
'-x+1/2,y+1/2,-z'
'x+1/2,-y+1/2,z'
loop_
_atom_site_label
_atom_site_type_symbol
_atom_site_fract_x
_atom_site_fract_y
_atom_site_fract_z
_atom_site_occupancy
Rb1 Rb 0.127 0.000 0.064 1
Ce1 Ce 0.000 0.000 0.500 1
Cd1 Cd 0.190 0.500 0.524 1
Se1 Se 0.026 0.500 0.283 1
Se2 Se 0.182 0.000 0.725 1
# **Volume**: 572.04 Å³/cell
# **Energy relative to the elements, uncorrected**: -1.08 eV per atom
# **D(E_F)**: 6.97 states/eV/f.u.
# **Final energy**: -3.7071 eV per atom
# **Theoretical density**: 4.945 Mg/m³